La5In2Ir2Au | GGA-PBE | relaxed

Results
As for the energy of formation: -0.654 eV/atom. The uncorrected energy is -5.7651 eV per atom. Its density of states at the Fermi level is 7.02 states/eV/f.u.

```
La5In2Ir2Au
1.0
-2.4871 2.0687 -2.0776
-8.5064 -8.5998 1.6201
-3.7754 5.6447 10.1402
La In Ir Au
10 4 4 2
Direct
0.5000 0.2049 0.0693 La
0.5000 0.7951 0.9307 La
0.5000 0.0693 0.7951 La
0.5000 0.7049 0.4307 La
0.5000 0.9307 0.2049 La
0.5000 0.2951 0.5693 La
0.5000 0.5693 0.7049 La
0.5000 0.4307 0.2951 La
0.5000 0.5000 0.0000 La
0.5000 0.0000 0.5000 La
0.0000 0.6812 0.1812 In
0.0000 0.3188 0.8188 In
0.0000 0.1812 0.3188 In
0.0000 0.8188 0.6812 In
0.0000 0.1375 0.6375 Ir
0.0000 0.8625 0.3625 Ir
0.0000 0.6375 0.8625 Ir
0.0000 0.3625 0.1375 Ir
0.0000 0.0000 0.0000 Au
0.0000 0.5000 0.5000 Au
```